Entry 1:
An optimized crystal structure of PrDy2TlO. Source: Alexandria, functional PBE.

Values from the calculation:
The calculation puts the magnetization at 0.0 μB per formula unit. For the formation energy from raw total energies, the calculation gives -1338 meV per atom. The value obtained for the theoretical density is 9.82 Mg/m³. As for the symmetry: P4/mmm.

Cell lengths 5.050, 4.794, 4.794 Å; angles 90.00, 90.00, 90.00 degrees
Sites, in units of the cell vectors:
Dy (0.000, 0.000, 0.500)
Dy (0.000, 0.500, 0.000)
O (0.000, 0.000, 0.000)
Tl (0.500, 0.500, 0.500)
Pr (0.500, 0.000, 0.000)


Entry 2:
An optimized crystal structure of Pr2DyTlO6. Source: Alexandria, functional PBE.

Values from the calculation:
The calculation puts the magnetization at 0.0 μB per formula unit. For the formation energy from raw total energies, the calculation gives -2676 meV per atom. The value obtained for the theoretical density is 7.72 Mg/m³. As for the symmetry: R3.

Cell lengths 5.999, 5.999, 6.199 Å; angles 61.06, 61.06, 60.00 degrees
Sites, in units of the cell vectors:
O (0.936, 0.615, 0.262)
O (0.108, 0.442, 0.755)
O (0.695, 0.108, 0.755)
O (0.187, 0.936, 0.262)
O (0.442, 0.695, 0.755)
O (0.615, 0.187, 0.262)
Pr (0.032, 0.032, 0.905)
Pr (0.530, 0.530, 0.411)
Dy (0.809, 0.809, 0.572)
Tl (0.308, 0.308, 0.075)